The following is a PBE calculation of crystalline Tc2AgCl8 at its relaxed geometry, from Alexandria.

a = 7.8235 Å, b = 7.8235 Å, c = 6.7266 Å
α = 96.30°, β = 96.30°, γ = 70.40°
Fractional positions:
Tc: 0.2096 0.2096 0.1638
Tc: 0.7904 0.7904 0.8362
Ag: 0.0000 0.0000 0.5000
Cl: 0.0622 0.6966 0.7045
Cl: 0.1748 0.1748 0.8303
Cl: 0.3034 0.9378 0.2955
Cl: 0.3782 0.3782 0.2918
Cl: 0.6218 0.6218 0.7082
Cl: 0.6966 0.0622 0.7045
Cl: 0.8252 0.8252 0.1697
Cl: 0.9378 0.3034 0.2955

Results
- Distance to the lowest polymorph of the same formula: 0.145 eV/atom
- Energy relative to the elements, uncorrected: -4.11 eV/f.u.
- Magnetization: 1.057 μB/cell
- Space group: C2/m (12)
- Fermi-level density of states: 9.7 states/eV per cell

The following is a PBE calculation of crystalline PrSb2Pd8 at its relaxed geometry, from Alexandria.

a = 6.3957 Å, b = 6.3957 Å, c = 5.5789 Å
α = 90.00°, β = 90.00°, γ = 90.00°
Fractional positions:
Pr: 0.0000 0.0000 0.0000
Sb: 0.0000 0.5000 0.5000
Sb: 0.5000 0.0000 0.5000
Pd: 0.2844 0.2844 0.2444
Pd: 0.2844 0.2844 0.7556
Pd: 0.2844 0.7156 0.2444
Pd: 0.2844 0.7156 0.7556
Pd: 0.7156 0.2844 0.2444
Pd: 0.7156 0.2844 0.7556
Pd: 0.7156 0.7156 0.2444
Pd: 0.7156 0.7156 0.7556

Results
- Energy relative to the elements, uncorrected: -2.94 eV/f.u.
- Magnetization: 0.000 μB/cell
- Space group: P4/mmm (123)
- Fermi-level density of states: 5.0 states/eV per cell

The following is a PBE calculation of crystalline Np3TiNb3N8 at its relaxed geometry, from Alexandria.

a = 6.5255 Å, b = 6.5255 Å, c = 6.5255 Å
α = 58.12°, β = 58.12°, γ = 58.12°
Fractional positions:
Np: 0.0000 0.5000 0.5000
Np: 0.5000 0.0000 0.5000
Np: 0.5000 0.5000 0.0000
Ti: 0.5000 0.5000 0.5000
Nb: 0.0000 0.0000 0.5000
Nb: 0.0000 0.5000 0.0000
Nb: 0.5000 0.0000 0.0000
N: 0.2427 0.2427 0.2427
N: 0.2518 0.7367 0.7367
N: 0.2633 0.2633 0.7482
N: 0.2633 0.7482 0.2633
N: 0.7367 0.2518 0.7367
N: 0.7367 0.7367 0.2518
N: 0.7482 0.2633 0.2633
N: 0.7573 0.7573 0.7573

Results
- Energy relative to the elements, uncorrected: -17.41 eV/f.u.
- Magnetization: 7.629 μB/cell
- Space group: R-3m (166)
- Fermi-level density of states: 16.8 states/eV per cell

The following is a PBE calculation of crystalline Dy5Er3Tm4 at its relaxed geometry, from Alexandria.

a = 8.4772 Å, b = 8.4772 Å, c = 9.1558 Å
α = 115.13°, β = 115.13°, γ = 39.89°
Fractional positions:
Dy: 0.0000 0.0000 0.0000
Dy: 0.3264 0.3264 0.6143
Dy: 0.4250 0.4250 0.2989
Dy: 0.5750 0.5750 0.7011
Dy: 0.6736 0.6736 0.3857
Er: 0.2088 0.2088 0.2298
Er: 0.5000 0.5000 0.0000
Er: 0.7912 0.7912 0.7702
Tm: 0.0800 0.0800 0.4386
Tm: 0.2141 0.2141 0.8776
Tm: 0.7859 0.7859 0.1224
Tm: 0.9200 0.9200 0.5614

Results
- Distance to the lowest polymorph of the same formula: 0.230 eV/atom
- Magnetization: 0.470 μB/cell
- ΔE_f: 252.3 meV per atom
- Space group: C2/m (12)
- Fermi-level density of states: 19.6 states/eV per cell